Below is an optimized crystal structure of Sm5Y2Th, with properties calculated at the PBE-GGA level.

a = 7.212 Å, b = 14.434 Å, c = 5.105 Å
α = 90.00°, β = 90.00°, γ = 90.00°
Space group Pbam (No. 55)
One atom of each set of equivalent atoms:
Sm (0.000, 0.000, 0.000) (multiplicity 2)
Sm (0.005, 0.251, 0.000) (multiplicity 4)
Sm (0.248, 0.377, 0.500) (multiplicity 4)
Y (0.242, 0.623, 0.500) (multiplicity 4)
Th (0.000, 0.500, 0.000) (multiplicity 2)

Values from the calculation:
The total DFT energy (no corrections) is -87.4 eV per cell. The value obtained for the energy of formation is 0.03 eV per atom.